Material: Be2FeBrO
Method: DFT, PBE+U
State: optimized geometry

Output
- Calculated total energy: -20.86 eV per cell
- Symmetry: P4/mmm (123)

The structure in POSCAR format:
```
Be2FeBrO
1.0
3.4451 0.0000 0.0000
0.0000 3.4451 0.0000
0.0000 0.0000 7.0097
Be Fe Br O
2 1 1 1
Direct
0.0000 0.5000 0.0000
0.5000 0.0000 0.0000
0.0000 0.0000 0.5000
0.5000 0.5000 0.5000
0.5000 0.5000 0.0000
```